The following is a DFT calculation (PBE with a Hubbard U) of a relaxed NaVHgF6 crystal.

The space group is P-31c (No. 163) and the conventional cell measures 5.6336, 5.6336 and 9.4808 Å, with angles of 90.00, 90.00 and 120.00 degrees. Symmetry generates all atoms from Na at (0.3333, 0.6667, 0.2500), V at (0.3333, 0.6667, 0.7500), Hg at (0.0000, 0.0000, 0.0000) and F at (0.0417, 0.3738, 0.6337).

For the total DFT energy (no corrections), the calculation gives -4.639 eV/atom. For the size of the total moment, the calculation gives 2.0 μB/f.u.